A relaxed structure of CsYB2O. Source: Alexandria via LeMat-Bulk, functional PBE.

Results
SG: No. 123

Cell lengths 4.2439, 4.2439, 6.4195 Å; angles 90.00, 90.00, 90.00 degrees
Fractional coordinates of all 5 atoms:
Cs 0.0000 0.0000 0.0000
Y 0.0000 0.0000 0.5000
B 0.0000 0.5000 0.0000
B 0.5000 0.0000 0.0000
O 0.5000 0.5000 0.5000



A relaxed structure of Cs2YBO4. Source: Alexandria via LeMat-Bulk, functional PBE.

Results
SG: No. 70

Cell lengths 13.5243, 12.3749, 6.5550 Å; angles 85.33, 65.78, 28.89 degrees
Fractional coordinates of all 16 atoms:
Cs 0.0527 0.0527 0.6973
Cs 0.3027 0.3027 0.9473
Cs 0.6973 0.6973 0.0527
Cs 0.9473 0.9473 0.3027
Y 0.1250 0.1250 0.1250
Y 0.8750 0.8750 0.8750
B 0.3750 0.3750 0.3750
B 0.6250 0.6250 0.6250
O 0.0942 0.5830 0.5047
O 0.3182 0.5047 0.5830
O 0.4170 0.9058 0.6818
O 0.4953 0.6818 0.9058
O 0.5047 0.3182 0.0942
O 0.5830 0.0942 0.3182
O 0.6818 0.4953 0.4170
O 0.9058 0.4170 0.4953



Number 1: formation energy without anion corrections 2565 meV/atom. Number 2: formation energy without anion corrections -2107 meV/atom.